Here is a relaxed structure of BaLiAsPd2 from the Alexandria database. Energies are from PBE-GGA.

Cell lengths 4.942, 4.942, 4.742 Å; angles 90.00, 90.00, 90.00 degrees
Positions (direct):
Pd 0.500 0.000 0.000
Pd 0.000 0.500 0.000
As 0.000 0.000 0.000
Ba 0.500 0.500 0.500
Li 0.000 0.000 0.500

Computed properties:
* size of the total moment: 0.0 μB per formula unit
* ΔE_f: -0.58 eV/atom